A relaxed CoCu2SbI crystal. Source: Alexandria, functional PBE.

Total magnetization = 2.99 μB per cell
N(E_F) = 3.25 states/eV/f.u.
E_tot = -3.496 eV per atom

abc: 4.9515 4.9515 5.0298
angles: 90.00 90.00 90.00
Closest atoms and distances in Å follow each position.
Space group P4/mmm (No. 123)
Symmetry-distinct sites (fractional):
1 Co 0.0000 0.0000 0.0000 (multiplicity 1)  2 Sb 2.51
2 Cu 0.0000 0.5000 0.5000 (multiplicity 2)  2 Sb 2.48
3 Sb 0.0000 0.0000 0.5000 (multiplicity 1)  4 Cu 2.48, 2 Co 2.51
4 I 0.5000 0.5000 0.0000 (multiplicity 1)  4 Co 3.50, 8 Cu 3.53